Material: Nd2AuN
Method: DFT, PBE-GGA
State: optimized geometry

a b c (Å): 7.712 7.712 7.712
angles (deg): 27.89 27.89 27.89
Element x y z (fractional)
Nd 0.230 0.230 0.230
Nd 0.770 0.770 0.770
Au 0.000 0.000 0.000
N 0.500 0.500 0.500

## Properties
Magnetic moment in Bohr magnetons per cell: 0.0
ΔE_f (raw) in eV per formula unit: -3.69
N(E_F) in states/eV/atom: 1.0006
Symmetry: R-3m (166)

***

Material: KNbCoSe3
Method: DFT, PBE-GGA
State: optimized geometry

a b c (Å): 8.843 3.659 9.686
angles (deg): 90.00 115.32 90.00
Element x y z (fractional)
K 0.243 0.250 0.257
K 0.757 0.750 0.743
Nb 0.293 0.750 0.824
Nb 0.707 0.250 0.176
Co 0.085 0.250 0.606
Co 0.915 0.750 0.394
Se 0.102 0.250 0.858
Se 0.216 0.750 0.540
Se 0.467 0.750 0.137
Se 0.533 0.250 0.863
Se 0.784 0.250 0.460
Se 0.898 0.750 0.142

## Properties
Magnetic moment in Bohr magnetons per cell: 2.0
ΔE_f (raw) in eV per formula unit: -4.88
N(E_F) in states/eV/atom: 0.4406
Symmetry: P2_1/m (11)

***

Material: AlFe2ReRh
Method: DFT, PBE-GGA
State: optimized geometry

a b c (Å): 4.220 4.220 4.294
angles (deg): 90.00 90.00 90.00
Element x y z (fractional)
Al 0.000 0.000 0.000
Fe 0.000 0.500 0.000
Fe 0.500 0.000 0.000
Re 0.500 0.500 0.500
Rh 0.000 0.000 0.500

## Properties
Magnetic moment in Bohr magnetons per cell: 3.6
N(E_F) in states/eV/atom: 1.2446
Symmetry: P4/mmm (123)
DFT formation energy in eV per atom: 1.258

***

Material: Cs2CrCdP
Method: DFT, PBE-GGA
State: optimized geometry

a b c (Å): 7.301 7.301 4.762
angles (deg): 90.00 90.00 90.00
Element x y z (fractional)
Cs 0.000 0.500 0.000
Cs 0.500 0.000 0.000
Cr 0.000 0.000 0.500
Cd 0.500 0.500 0.000
P 0.500 0.500 0.500

## Properties
Magnetic moment in Bohr magnetons per cell: 5.2
N(E_F) in states/eV/atom: 0.2632
Symmetry: P4/mmm (123)
DFT formation energy in eV per atom: 0.590

***

Material: ThSiOsO
Method: DFT, PBE-GGA
State: optimized geometry

a b c (Å): 4.176 4.176 7.780
angles (deg): 90.00 90.00 90.00
Element x y z (fractional)
Th 0.250 0.250 0.159
Th 0.750 0.750 0.841
Si 0.250 0.250 0.648
Si 0.750 0.750 0.352
Os 0.250 0.750 0.500
Os 0.750 0.250 0.500
O 0.250 0.750 0.000
O 0.750 0.250 0.000

## Properties
Magnetic moment in Bohr magnetons per cell: 0.0
ΔE_f (raw) in eV per formula unit: -7.16
N(E_F) in states/eV/atom: 0.4912
Symmetry: P4/nmm (129)

***

Material: BaIn2Co
Method: DFT, PBE-GGA
State: optimized geometry

a b c (Å): 5.481 5.481 4.178
angles (deg): 90.00 90.00 117.31
Element x y z (fractional)
Ba 0.000 0.000 0.000
In 0.332 0.668 0.500
In 0.668 0.332 0.500
Co 0.500 0.500 0.000

## Properties
Magnetic moment in Bohr magnetons per cell: 0.6
N(E_F) in states/eV/atom: 0.8066
Symmetry: Cmmm (65)
DFT formation energy in eV per atom: 0.017